Entry 1:
A plane-wave DFT calculation with PBE was carried out for a relaxed CaPm2Co crystal.

Cell: 3.9755 3.9755 28.1695 Å, 90.00 90.00 120.00°
Space group R3m (No. 160, hexagonal axes)
Inequivalent atoms, fractional coordinates:
1 Ca 0.0000 0.0000 0.0000
2 Pm 0.0000 0.0000 0.5505
3 Pm 0.0000 0.0000 0.7797
4 Co 0.0000 0.0000 0.1650

Values from the calculation:
M_tot in μB/f.u.: 0.0
E_form in eV per atom: -0.0104
Raw total energy in eV per atom: -4.663

=====

Entry 2:
A plane-wave DFT calculation with PBE was carried out for a relaxed CaPm2Co crystal.

Cell: 3.503 3.503 9.610 Å, 90.00 90.00 90.00°
Space group P4/mmm (No. 123)
Inequivalent atoms, fractional coordinates:
1 Ca 0.000 0.000 0.000
2 Pm 0.500 0.500 0.329
3 Co 0.000 0.000 0.500

Values from the calculation:
M_tot in μB/f.u.: 0.7
E_form in eV per atom: 0.0246
Raw total energy in eV per atom: -4.628

=====

Entry 3:
A plane-wave DFT calculation with PBE was carried out for a relaxed Ca2Pm5Co2 crystal.

Cell: 19.403 7.565 7.556 Å, 90.00 90.00 90.00°
Space group Cmce (No. 64)
Inequivalent atoms, fractional coordinates:
1 Ca 0.229 0.000 0.000
2 Pm 0.000 0.000 0.000
3 Pm 0.096 0.169 0.332
4 Co 0.000 0.132 0.632

Values from the calculation:
M_tot in μB/f.u.: 0.0
E_form in eV per atom: -0.0123
Raw total energy in eV per atom: -4.675

=====

Entry 4:
A plane-wave DFT calculation with PBE was carried out for a relaxed CaPm2Co crystal.

Cell: 13.717 3.754 9.252 Å, 90.00 91.67 90.00°
Space group C2/m (No. 12)
Inequivalent atoms, fractional coordinates:
1 Ca 0.130 0.000 0.472
2 Pm 0.029 0.500 0.823
3 Pm 0.232 0.500 0.155
4 Co 0.101 0.000 0.029

Values from the calculation:
M_tot in μB/f.u.: 0.0
E_form in eV per atom: -0.0510
Raw total energy in eV per atom: -4.703

=====

Entry 5:
A plane-wave DFT calculation with PBE was carried out for a relaxed CaPm2Co crystal.

Cell: 3.9528 3.9528 28.8161 Å, 90.00 90.00 120.00°
Space group R-3m (No. 166, hexagonal axes)
Inequivalent atoms, fractional coordinates:
1 Ca 0.0000 0.0000 0.0000
2 Pm 0.0000 0.0000 0.2181
3 Co 0.0000 0.0000 0.5000

Values from the calculation:
M_tot in μB/f.u.: 0.0
E_form in eV per atom: -0.0052
Raw total energy in eV per atom: -4.657

=====

Entry 6:
A plane-wave DFT calculation with PBE was carried out for a relaxed CaPmCo crystal.

Cell: 14.291 3.862 6.998 Å, 90.00 119.29 90.00°
Space group C2/m (No. 12)
Inequivalent atoms, fractional coordinates:
1 Ca 0.231 0.000 0.231
2 Pm 0.000 0.500 0.261
3 Co 0.094 0.000 0.593

Values from the calculation:
M_tot in μB/f.u.: 0.1
E_form in eV per atom: 0.0778
Raw total energy in eV per atom: -4.542

=====

Repeat the fifth record exactly.
A plane-wave DFT calculation with PBE was carried out for a relaxed CaPm2Co crystal.

Cell: 3.9528 3.9528 28.8161 Å, 90.00 90.00 120.00°
Space group R-3m (No. 166, hexagonal axes)
Inequivalent atoms, fractional coordinates:
1 Ca 0.0000 0.0000 0.0000
2 Pm 0.0000 0.0000 0.2181
3 Co 0.0000 0.0000 0.5000

Values from the calculation:
M_tot in μB/f.u.: 0.0
E_form in eV per atom: -0.0052
Raw total energy in eV per atom: -4.657